SiAu3O PBE-GGA optimized geometry; crystal system = cubic; total magnetic moment = 0.00 μB/f.u.; energy relative to the elements, uncorrected = 0.616 eV per atom
1.0
-2.430 -1.032 3.636
-0.559 -4.177 -1.559
3.738 -1.296 2.131
O Au Si
1 3 1
direct
0.000 0.000 0.000
0.500 0.000 0.000
0.000 0.500 0.000
0.000 0.000 0.500
0.500 0.500 0.500